No. 1
# MgSc3O | Alexandria via LeMat-Bulk | GGA-PBE | optimized geometry
data_MgSc3O
_chemical_formula_sum 'Mg2 Sc6 O2'
_space_group_name_H-M_alt 'P 63/m m c'
_space_group_IT_number 194
_space_group_name_Hall '-P 6c 2c'
_cell_length_a 3.4708
_cell_length_b 3.4708
_cell_length_c 20.3665
_cell_angle_alpha 90.00
_cell_angle_beta 90.00
_cell_angle_gamma 120.00
loop_
_atom_site_label
_atom_site_type_symbol
_atom_site_fract_x
_atom_site_fract_y
_atom_site_fract_z
Mg1 Mg 0.0000 0.0000 0.0000
Sc1 Sc 0.0000 0.0000 0.2500
Sc2 Sc 0.3333 0.6667 0.1251
O1 O 0.3333 0.6667 0.2500
# Crystal system: hexagonal
# Magnetic moment (μB per formula unit): 0.00
# Formation energy from raw total energies (eV per atom): -1.054
# Density (g/cm³): 2.74

---

No. 2
# Mg2ScO2 | Alexandria via LeMat-Bulk | GGA-PBE | optimized geometry
data_Mg2ScO2
_chemical_formula_sum 'Mg4 Sc2 O4'
_space_group_name_H-M_alt 'I 4/m m m'
_space_group_IT_number 139
_space_group_name_Hall '-I 4 2'
_cell_length_a 3.986
_cell_length_b 3.986
_cell_length_c 10.553
_cell_angle_alpha 90.00
_cell_angle_beta 90.00
_cell_angle_gamma 90.00
loop_
_atom_site_label
_atom_site_type_symbol
_atom_site_fract_x
_atom_site_fract_y
_atom_site_fract_z
Mg1 Mg 0.000 0.500 0.250
Sc1 Sc 0.000 0.000 0.000
O1 O 0.000 0.000 0.198
# Crystal system: tetragonal
# Magnetic moment (μB per formula unit): 0.82
# Formation energy from raw total energies (eV per atom): -1.859
# Distance to the lowest polymorph of the same formula (kJ/mol of atoms): 0.0
# Density (g/cm³): 2.49

---

No. 3
# Mg2ScO | Alexandria via LeMat-Bulk | GGA-PBE | optimized geometry
data_Mg2ScO
_chemical_formula_sum 'Mg8 Sc4 O4'
_space_group_name_H-M_alt 'I -4 2 d'
_space_group_IT_number 122
_space_group_name_Hall 'I -4 2bw'
_cell_length_a 6.276
_cell_length_b 6.276
_cell_length_c 8.662
_cell_angle_alpha 90.00
_cell_angle_beta 90.00
_cell_angle_gamma 90.00
loop_
_atom_site_label
_atom_site_type_symbol
_atom_site_fract_x
_atom_site_fract_y
_atom_site_fract_z
Mg1 Mg 0.065 0.750 0.125
Sc1 Sc 0.000 0.000 0.500
O1 O 0.000 0.000 0.000
# Crystal system: tetragonal
# Magnetic moment (μB per formula unit): 1.07
# Formation energy from raw total energies (eV per atom): -0.826
# Density (g/cm³): 2.13

---

No. 4
# MgSc3O | Alexandria via LeMat-Bulk | GGA-PBE | optimized geometry
data_MgSc3O
_chemical_formula_sum 'Mg1 Sc3 O1'
_space_group_name_H-M_alt 'P m -3 m'
_space_group_IT_number 221
_space_group_name_Hall '-P 4 2 3'
_cell_length_a 4.500
_cell_length_b 4.500
_cell_length_c 4.500
_cell_angle_alpha 90.00
_cell_angle_beta 90.00
_cell_angle_gamma 90.00
loop_
_atom_site_label
_atom_site_type_symbol
_atom_site_fract_x
_atom_site_fract_y
_atom_site_fract_z
Mg1 Mg 0.000 0.000 0.000
Sc1 Sc 0.000 0.500 0.500
O1 O 0.500 0.500 0.500
# Crystal system: cubic
# Magnetic moment (μB per formula unit): 0.00
# Formation energy from raw total energies (eV per atom): -1.219
# Density (g/cm³): 3.19

---

No. 5
# MgSc3O | Alexandria via LeMat-Bulk | GGA-PBE | optimized geometry
data_MgSc3O
_chemical_formula_sum 'Mg4 Sc12 O4'
_space_group_name_H-M_alt 'C 1 2/m 1'
_space_group_IT_number 12
_cell_length_a 12.177
_cell_length_b 3.239
_cell_length_c 10.125
_cell_angle_alpha 90.00
_cell_angle_beta 106.76
_cell_angle_gamma 90.00
loop_
_space_group_symop_operation_xyz
'x,y,z'
'-x,-y,-z'
'-x,y,-z'
'x,-y,z'
'x+1/2,y+1/2,z'
'-x+1/2,-y+1/2,-z'
'-x+1/2,y+1/2,-z'
'x+1/2,-y+1/2,z'
loop_
_atom_site_label
_atom_site_type_symbol
_atom_site_fract_x
_atom_site_fract_y
_atom_site_fract_z
Mg1 Mg 0.151 0.000 0.388
Sc1 Sc 0.034 0.000 0.875
Sc2 Sc 0.102 0.500 0.651
Sc3 Sc 0.209 0.500 0.116
O1 O 0.162 0.500 0.882
# Crystal system: monoclinic
# Magnetic moment (μB per formula unit): 0.00
# Formation energy from raw total energies (eV per atom): -1.104
# Density (g/cm³): 3.04

---

No. 6
# Mg3Sc9O2 | Alexandria via LeMat-Bulk | GGA-PBE | optimized geometry
data_Mg3Sc9O2
_chemical_formula_sum 'Mg3 Sc9 O2'
_space_group_name_H-M_alt 'P -3 m 1'
_space_group_IT_number 164
_space_group_name_Hall '-P 3 2"'
_cell_length_a 6.4147
_cell_length_b 6.4147
_cell_length_c 7.8531
_cell_angle_alpha 90.00
_cell_angle_beta 90.00
_cell_angle_gamma 120.00
loop_
_atom_site_label
_atom_site_type_symbol
_atom_site_fract_x
_atom_site_fract_y
_atom_site_fract_z
Mg1 Mg 0.0000 0.0000 0.0000
Mg2 Mg 0.3333 0.6667 0.3353
Sc1 Sc 0.0000 0.5000 0.0000
Sc2 Sc 0.1695 0.3390 0.6718
O1 O 0.3333 0.6667 0.8403
# Crystal system: trigonal
# Magnetic moment (μB per formula unit): 0.00
# Formation energy from raw total energies (eV per atom): -0.863
# Density (g/cm³): 3.02

---

No. 7
# MgSc3O | Alexandria via LeMat-Bulk | GGA-PBE | optimized geometry
data_MgSc3O
_chemical_formula_sum 'Mg4 Sc12 O4'
_space_group_name_H-M_alt 'C 1 m 1'
_space_group_IT_number 8
_cell_length_a 10.595
_cell_length_b 6.442
_cell_length_c 5.944
_cell_angle_alpha 90.00
_cell_angle_beta 90.95
_cell_angle_gamma 90.00
loop_
_space_group_symop_operation_xyz
'x,y,z'
'x,-y,z'
'x+1/2,y+1/2,z'
'x+1/2,-y+1/2,z'
loop_
_atom_site_label
_atom_site_type_symbol
_atom_site_fract_x
_atom_site_fract_y
_atom_site_fract_z
Mg1 Mg 0.000 0.000 0.000
Mg2 Mg 0.237 0.000 0.680
Sc1 Sc 0.253 0.500 0.685
Sc2 Sc 0.254 0.249 0.190
Sc3 Sc 0.495 0.000 0.994
Sc4 Sc 0.499 0.241 0.477
O1 O 0.059 0.500 0.676
O2 O 0.388 0.000 0.296
# Crystal system: monoclinic
# Magnetic moment (μB per formula unit): 0.00
# Formation energy from raw total energies (eV per atom): -1.152
# Density (g/cm³): 2.87

---

No. 8
# MgSc2O4 | Alexandria via LeMat-Bulk | GGA-PBE | optimized geometry
data_MgSc2O4
_chemical_formula_sum 'Mg4 Sc8 O16'
_space_group_name_H-M_alt 'P n m a'
_space_group_IT_number 62
_cell_length_a 9.276
_cell_length_b 3.084
_cell_length_c 10.964
_cell_angle_alpha 90.00
_cell_angle_beta 90.00
_cell_angle_gamma 90.00
loop_
_space_group_symop_operation_xyz
'x,y,z'
'-x,-y,-z'
'-x+1/2,-y,z+1/2'
'x+1/2,y,-z+1/2'
'x+1/2,-y+1/2,-z+1/2'
'-x+1/2,y+1/2,z+1/2'
'-x,y+1/2,-z'
'x,-y+1/2,z'
loop_
_atom_site_label
_atom_site_type_symbol
_atom_site_fract_x
_atom_site_fract_y
_atom_site_fract_z
Mg1 Mg 0.226 0.250 0.145
Sc1 Sc 0.070 0.250 0.384
Sc2 Sc 0.083 0.250 0.891
O1 O 0.001 0.750 0.793
O2 O 0.083 0.250 0.581
O3 O 0.135 0.750 0.025
O4 O 0.213 0.750 0.313
# Crystal system: orthorhombic
# Magnetic moment (μB per formula unit): 0.00
# Formation energy from raw total energies (eV per atom): -3.151
# Distance to the lowest polymorph of the same formula (kJ/mol of atoms): 12.3
# Density (g/cm³): 3.77

---

No. 9
# MgSc3O | Alexandria via LeMat-Bulk | GGA-PBE | optimized geometry
data_MgSc3O
_chemical_formula_sum 'Mg2 Sc6 O2'
_space_group_name_H-M_alt 'P 63/m m c'
_space_group_IT_number 194
_space_group_name_Hall '-P 6c 2c'
_cell_length_a 4.0721
_cell_length_b 4.0721
_cell_length_c 15.4034
_cell_angle_alpha 90.00
_cell_angle_beta 90.00
_cell_angle_gamma 120.00
loop_
_atom_site_label
_atom_site_type_symbol
_atom_site_fract_x
_atom_site_fract_y
_atom_site_fract_z
Mg1 Mg 0.3333 0.6667 0.2500
Sc1 Sc 0.0000 0.0000 0.2500
Sc2 Sc 0.3333 0.6667 0.0637
O1 O 0.0000 0.0000 0.0000
# Crystal system: hexagonal
# Magnetic moment (μB per formula unit): 0.81
# Formation energy from raw total energies (eV per atom): 0.213
# Density (g/cm³): 2.63

---

No. 10
# MgSc3O | Alexandria via LeMat-Bulk | GGA-PBE | optimized geometry
data_MgSc3O
_chemical_formula_sum 'Mg4 Sc12 O4'
_space_group_name_H-M_alt 'C m m m'
_space_group_IT_number 65
_space_group_name_Hall '-C 2 2'
_cell_length_a 6.432
_cell_length_b 12.875
_cell_length_c 4.460
_cell_angle_alpha 90.00
_cell_angle_beta 90.00
_cell_angle_gamma 90.00
loop_
_atom_site_label
_atom_site_type_symbol
_atom_site_fract_x
_atom_site_fract_y
_atom_site_fract_z
Mg1 Mg 0.000 0.121 0.000
Sc1 Sc 0.000 0.371 0.000
Sc2 Sc 0.234 0.500 0.500
Sc3 Sc 0.250 0.250 0.500
O1 O 0.000 0.368 0.500
# Crystal system: orthorhombic
# Magnetic moment (μB per formula unit): 0.00
# Formation energy from raw total energies (eV per atom): -1.222
# Density (g/cm³): 3.15

---

No. 11
# MgSc3O | Alexandria via LeMat-Bulk | GGA-PBE | optimized geometry
data_MgSc3O
_chemical_formula_sum 'Mg6 Sc18 O6'
_space_group_name_H-M_alt 'R -3'
_space_group_IT_number 148
_space_group_name_Hall '-R 3'
_cell_length_a 6.2986
_cell_length_b 6.2986
_cell_length_c 16.1878
_cell_angle_alpha 90.00
_cell_angle_beta 90.00
_cell_angle_gamma 120.00
loop_
_atom_site_label
_atom_site_type_symbol
_atom_site_fract_x
_atom_site_fract_y
_atom_site_fract_z
Mg1 Mg 0.0000 0.0000 0.0897
Sc1 Sc 0.0040 0.5550 0.0852
O1 O 0.0000 0.0000 0.3315
# Crystal system: trigonal
# Magnetic moment (μB per formula unit): 0.00
# Formation energy from raw total energies (eV per atom): -0.970
# Density (g/cm³): 3.14

---

No. 12
# MgSc3O | Alexandria via LeMat-Bulk | GGA-PBE | optimized geometry
data_MgSc3O
_chemical_formula_sum 'Mg4 Sc12 O4'
_space_group_name_H-M_alt 'I -4 m 2'
_space_group_IT_number 119
_space_group_name_Hall 'I -4 -2'
_cell_length_a 4.447
_cell_length_b 4.447
_cell_length_c 26.794
_cell_angle_alpha 90.00
_cell_angle_beta 90.00
_cell_angle_gamma 90.00
loop_
_atom_site_label
_atom_site_type_symbol
_atom_site_fract_x
_atom_site_fract_y
_atom_site_fract_z
Mg1 Mg 0.000 0.000 0.000
Mg2 Mg 0.000 0.500 0.250
Sc1 Sc 0.000 0.000 0.325
Sc2 Sc 0.000 0.241 0.114
O1 O 0.000 0.500 0.643
# Crystal system: tetragonal
# Magnetic moment (μB per formula unit): 0.15
# Formation energy from raw total energies (eV per atom): 0.206
# Density (g/cm³): 2.20

---

| no. | final energy (hartree per atom) |
| --- | --- |
| 1 | -0.2265 |
| 2 | -0.2112 |
| 3 | -0.1634 |
| 4 | -0.2326 |
| 5 | -0.2283 |
| 6 | -0.2199 |
| 7 | -0.2301 |
| 8 | -0.2948 |
| 9 | -0.1800 |
| 10 | -0.2327 |
| 11 | -0.2234 |
| 12 | -0.1802 |